First-principles (meta-GGA SCAN) data for a crystal of Li7Ni5O12 relaxed with PBEsol, as listed in Alexandria.

The space group is C2/m (No. 12) and the conventional cell measures 4.9051, 8.4888 and 9.4301 Å, with angles of 90.00, 99.80 and 90.00 degrees. The asymmetric unit holds Li at (0.0000, 0.0000, 0.0000), Li at (0.2418, 0.1626, 0.2430), Li at (0.2468, 0.0000, 0.7571), Ni at (0.0000, 0.1648, 0.5000), Ni at (0.0000, 0.3333, 0.0000), Ni at (0.0000, 0.5000, 0.5000), O at (0.1060, 0.5000, 0.8882), O at (0.1199, 0.0000, 0.3826), O at (0.1348, 0.3360, 0.3925) and O at (0.1423, 0.1791, 0.8882).

The total magnetization is 3.0 μB per formula unit. Its calculated volume is 193.5 Å³/f.u. The calculation puts the total DFT energy (no corrections) at -8.865 eV/atom. The value obtained for the energy relative to the elements, uncorrected is -1.6827 eV per atom.